## Ho3CrPt12 (PBE)

Data for crystalline Ho3CrPt12 at its relaxed geometry.

Properties
formation energy from the elements: -0.84 eV per atom
DOS at the Fermi energy: 1.070 states/eV/atom
electronic total energy: -6.83 eV/atom

Geometry as CIF:
```
data_Ho3CrPt12
_symmetry_space_group_name_H-M 'P 4/m m m'
_symmetry_Int_Tables_number 123
_symmetry_space_group_name_Hall '-P 4 2'
_cell_length_a 4.063
_cell_length_b 4.063
_cell_length_c 16.272
_cell_angle_alpha 90.00
_cell_angle_beta 90.00
_cell_angle_gamma 90.00
loop_
_atom_site_label
_atom_site_type_symbol
_atom_site_fract_x
_atom_site_fract_y
_atom_site_fract_z
Ho1 Ho 0.000 0.000 0.000
Ho2 Ho 0.000 0.000 0.254
Cr1 Cr 0.000 0.000 0.500
Pt1 Pt 0.000 0.500 0.128
Pt2 Pt 0.000 0.500 0.385
Pt3 Pt 0.500 0.500 0.000
Pt4 Pt 0.500 0.500 0.257
Pt5 Pt 0.500 0.500 0.500
```


## Ho2CrSi4Pt3 (PBE)

Data for crystalline Ho2CrSi4Pt3 at its relaxed geometry.

Properties
uncorrected formation energy: -0.959 eV per atom
DOS at the Fermi energy: 0.286 states/eV/atom
electronic total energy: -6.82 eV/atom

Geometry as CIF:
```
data_Ho2CrSi4Pt3
_symmetry_space_group_name_H-M 'P -4 m 2'
_symmetry_Int_Tables_number 115
_symmetry_space_group_name_Hall 'P -4 -2'
_cell_length_a 4.087
_cell_length_b 4.087
_cell_length_c 10.223
_cell_angle_alpha 90.00
_cell_angle_beta 90.00
_cell_angle_gamma 90.00
loop_
_atom_site_label
_atom_site_type_symbol
_atom_site_fract_x
_atom_site_fract_y
_atom_site_fract_z
Ho1 Ho 0.000 0.500 0.249
Cr1 Cr 0.500 0.500 0.000
Si1 Si 0.000 0.000 0.500
Si2 Si 0.000 0.500 0.865
Si3 Si 0.500 0.500 0.500
Pt1 Pt 0.000 0.000 0.000
Pt2 Pt 0.000 0.500 0.628
```


## Rb2Ho2CrS6 (PBE)

Data for crystalline Rb2Ho2CrS6 at its relaxed geometry.

Properties
uncorrected formation energy: -1.417 eV per atom
DOS at the Fermi energy: 0.688 states/eV/atom
electronic total energy: -5.55 eV/atom

Geometry as CIF:
```
data_Rb2Ho2CrS6
_symmetry_space_group_name_H-M 'C 1 2/m 1'
_symmetry_Int_Tables_number 12
_symmetry_space_group_name_Hall '-C 2y'
_cell_length_a 6.672
_cell_length_b 11.354
_cell_length_c 8.214
_cell_angle_alpha 90.00
_cell_angle_beta 106.44
_cell_angle_gamma 90.00
loop_
_atom_site_label
_atom_site_type_symbol
_atom_site_fract_x
_atom_site_fract_y
_atom_site_fract_z
Rb1 Rb 0.000 0.173 0.000
Ho1 Ho 0.000 0.333 0.500
Cr1 Cr 0.000 0.000 0.500
S1 S 0.216 0.151 0.682
S2 S 0.237 0.000 0.321
```


## Rb3HoCr2S6 (PBE)

Data for crystalline Rb3HoCr2S6 at its relaxed geometry.

Properties
uncorrected formation energy: -1.165 eV per atom
electronic total energy: -5.46 eV/atom

Geometry as CIF:
```
data_Rb3HoCr2S6
_symmetry_space_group_name_H-M 'C 1 2/m 1'
_symmetry_Int_Tables_number 12
_symmetry_space_group_name_Hall '-C 2y'
_cell_length_a 6.587
_cell_length_b 11.405
_cell_length_c 7.870
_cell_angle_alpha 90.00
_cell_angle_beta 106.32
_cell_angle_gamma 90.00
loop_
_atom_site_label
_atom_site_type_symbol
_atom_site_fract_x
_atom_site_fract_y
_atom_site_fract_z
Rb1 Rb 0.000 0.000 0.000
Rb2 Rb 0.000 0.338 0.000
Ho1 Ho 0.000 0.500 0.500
Cr1 Cr 0.000 0.167 0.500
S1 S 0.198 0.000 0.675
S2 S 0.239 0.320 0.677
```


## Rb2HoCrS4 (PBE)

Data for crystalline Rb2HoCrS4 at its relaxed geometry.

Properties
uncorrected formation energy: -1.174 eV per atom
DOS at the Fermi energy: 0.644 states/eV/atom
electronic total energy: -5.25 eV/atom

Geometry as CIF:
```
data_Rb2HoCrS4
_symmetry_space_group_name_H-M 'I -4'
_symmetry_Int_Tables_number 82
_symmetry_space_group_name_Hall 'I -4'
_cell_length_a 7.366
_cell_length_b 7.366
_cell_length_c 9.105
_cell_angle_alpha 90.00
_cell_angle_beta 90.00
_cell_angle_gamma 90.00
loop_
_atom_site_label
_atom_site_type_symbol
_atom_site_fract_x
_atom_site_fract_y
_atom_site_fract_z
Rb1 Rb 0.000 0.000 0.000
Rb2 Rb 0.000 0.500 0.250
Ho1 Ho 0.000 0.000 0.500
Cr1 Cr 0.000 0.500 0.750
S1 S 0.152 0.264 0.642
```


## Rb3Ho2CrSe6 (PBE)

Data for crystalline Rb3Ho2CrSe6 at its relaxed geometry.

Properties
uncorrected formation energy: -1.381 eV per atom
electronic total energy: -4.93 eV/atom

Geometry as CIF:
```
data_Rb3Ho2CrSe6
_symmetry_space_group_name_H-M 'C 1 2/m 1'
_symmetry_Int_Tables_number 12
_symmetry_space_group_name_Hall '-C 2y'
_cell_length_a 7.117
_cell_length_b 12.336
_cell_length_c 8.306
_cell_angle_alpha 90.00
_cell_angle_beta 106.71
_cell_angle_gamma 90.00
loop_
_atom_site_label
_atom_site_type_symbol
_atom_site_fract_x
_atom_site_fract_y
_atom_site_fract_z
Rb1 Rb 0.000 0.000 0.000
Rb2 Rb 0.000 0.328 0.000
Ho1 Ho 0.000 0.166 0.500
Cr1 Cr 0.000 0.500 0.500
Se1 Se 0.217 0.345 0.687
Se2 Se 0.247 0.500 0.312
```


- Among the records above, which one has the highest electronic total energy?
  Rb3Ho2CrSe6


- The highest electronic total energy belongs to which entry?
  Rb3Ho2CrSe6


- Among the records above, which one has the lowest electronic total energy?
  Ho3CrPt12